VASP calculation (PBE) on a geometry-optimized Zr2SbTe structure.

```
4
Lattice="5.067 0.000 0.000 0.000 5.067 0.000 0.000 0.000 3.544" Properties=species:S:1:pos:R:3 pbc="T T T"
Zr 0.000 2.533 0.000
Zr 2.533 0.000 0.000
Sb 0.000 0.000 1.772
Te 2.533 2.533 1.772
```

Calculated values
Total moment, μB per atom: 0.00
VASP energy, eV per atom: -6.74
Space group: P4/mmm
DOS at the Fermi energy, states/eV/atom: 0.710
Density, g/cm3: 7.881